BeInW2 | PBE | optimized geometry

Values from the calculation:
Calculated volume: 64.2 Å³/cell
Final energy: -29.67 eV per formula unit
Relative energy among the computed polymorphs: 328 meV/atom
ΔE_f: 0.68 eV per atom

Cell and atoms, written as extended XYZ:
```
4
Lattice="2.696 -4.326 0.000 2.696 4.326 0.000 0.000 0.000 2.754" Properties=species:S:1:pos:R:3 pbc="T T T"
Be 0.000 0.000 0.000
In 2.696 0.000 0.000
W 1.348 2.163 1.377
W 1.348 -2.163 1.377
```

***

LiLaEr2Se4 | PBE | optimized geometry

Values from the calculation:
Calculated volume: 196.8 Å³/cell
Final energy: -44.01 eV per formula unit
E_form (uncorrected): -170.1 kJ/mol of atoms

Cell and atoms, written as extended XYZ:
```
8
Lattice="7.082 0.000 0.000 0.000 4.085 0.000 -2.356 0.000 6.804" Properties=species:S:1:pos:R:3 pbc="T T T"
Li 0.000 0.000 0.000
La 3.541 2.042 0.000
Er -1.178 2.042 3.402
Er 2.363 0.000 3.402
Se -0.076 0.000 5.021
Se 1.120 2.042 1.749
Se 3.606 2.042 5.055
Se 4.802 0.000 1.783
```

***

ZrSc2Tl | PBE | optimized geometry

Values from the calculation:
Calculated volume: 93.7 Å³/cell
Final energy: -23.88 eV per formula unit
Relative energy among the computed polymorphs: 91 meV/atom
ΔE_f: -0.08 eV per atom

Cell and atoms, written as extended XYZ:
```
4
Lattice="5.380 -1.667 0.000 5.380 1.667 0.000 -1.452 0.000 5.220" Properties=species:S:1:pos:R:3 pbc="T T T"
Zr 0.000 0.000 0.000
Sc 1.526 0.000 3.922
Sc 7.783 0.000 1.298
Tl 4.655 0.000 2.610
```

***

ZrFeSi | PBE | optimized geometry

Values from the calculation:
Calculated volume: 92.9 Å³/cell
Final energy: -24.55 eV per formula unit
E_form (uncorrected): -68.2 kJ/mol of atoms

Cell and atoms, written as extended XYZ:
```
6
Lattice="-1.866 1.866 6.666 1.866 -1.866 6.666 1.866 1.866 -6.666" Properties=species:S:1:pos:R:3 pbc="T T T"
Zr 0.000 0.000 2.248
Zr 0.000 0.000 11.085
Fe 1.866 0.000 0.000
Fe 0.000 1.866 0.000
Si 0.000 0.000 5.117
Si 0.000 0.000 8.215
```